<P>
The following is a GGA-PBE calculation of a geometry-optimized LiCoMoPb structure, from the Open Quantum Materials Database.

Lattice parameters (Å, degrees): 4.388 4.388 4.388 60.00 60.00 60.00
Last column: magnetic moment on the atom in μB.
Positions (direct):
Pb: 0.000 0.000 0.000  -0.04
Co: 0.750 0.750 0.750  0.82
Li: 0.250 0.250 0.250  0.03
Mo: 0.500 0.500 0.500  1.11

Results
The theoretical density comes out at 10.3 g/cm3. The space-group type is F-43m, No. 216.



<Q>
The following is a GGA-PBE calculation of a geometry-optimized LiCoMoPb structure, from the Open Quantum Materials Database.

Lattice parameters (Å, degrees): 4.491 4.491 4.491 60.00 60.00 60.00
Positions (direct):
Pb: 0.000 0.000 0.000
Li: 0.500 0.500 0.500
Co: 0.750 0.750 0.750
Mo: 0.250 0.250 0.250

Results
The theoretical density comes out at 9.6 g/cm3. The space-group type is F-43m, No. 216.



The structure with the least stability is <Q>.



<P>
The following is a GGA-PBE calculation of a geometry-optimized LiTlCoMo structure, from the Open Quantum Materials Database.

Lattice parameters (Å, degrees): 4.453 4.453 4.453 60.00 60.00 60.00
Positions (direct):
Li: 0.500 0.500 0.500
Tl: 0.000 0.000 0.000
Mo: 0.250 0.250 0.250
Co: 0.750 0.750 0.750

Results
The theoretical density comes out at 9.7 g/cm3. The space-group type is F-43m, No. 216.



<Q>
The following is a GGA-PBE calculation of a geometry-optimized LiTlCoMo structure, from the Open Quantum Materials Database.

Lattice parameters (Å, degrees): 4.347 4.347 4.347 60.00 60.00 60.00
Last column: magnetic moment on the atom in μB.
Positions (direct):
Li: 0.250 0.250 0.250  0.02
Mo: 0.500 0.500 0.500  0.78
Tl: 0.000 0.000 0.000  -0.02
Co: 0.750 0.750 0.750  0.15

Results
The theoretical density comes out at 10.5 g/cm3. The space-group type is F-43m, No. 216.



The structure with the least stability is <P>.



<P>
The following is a GGA-PBE calculation of a geometry-optimized LiScNbCo structure, from the Open Quantum Materials Database.

Lattice parameters (Å, degrees): 4.417 4.417 4.417 60.00 60.00 60.00
Positions (direct):
Li: 0.750 0.750 0.750
Nb: 0.500 0.500 0.500
Co: 0.250 0.250 0.250
Sc: 0.000 0.000 0.000

Results
The theoretical density comes out at 5.6 g/cm3. The space-group type is F-43m, No. 216.



<Q>
The following is a GGA-PBE calculation of a geometry-optimized LiScNbCo structure, from the Open Quantum Materials Database.

Lattice parameters (Å, degrees): 4.385 4.385 4.385 60.00 60.00 60.00
Positions (direct):
Nb: 0.250 0.250 0.250
Co: 0.500 0.500 0.500
Sc: 0.000 0.000 0.000
Li: 0.750 0.750 0.750

Results
The theoretical density comes out at 5.7 g/cm3. The space-group type is F-43m, No. 216.



The structure with the least stability is <Q>.



<P>
The following is a GGA-PBE calculation of a geometry-optimized LiCoNiPb structure, from the Open Quantum Materials Database.

Lattice parameters (Å, degrees): 4.303 4.303 4.303 60.00 60.00 60.00
Last column: magnetic moment on the atom in μB.
Positions (direct):
Pb: 0.000 0.000 0.000  -0.01
Co: 0.250 0.250 0.250  0.42
Ni: 0.750 0.750 0.750  0.09
Li: 0.500 0.500 0.500  -0.01

Results
The theoretical density comes out at 9.8 g/cm3. The space-group type is F-43m, No. 216.



<Q>
The following is a GGA-PBE calculation of a geometry-optimized LiCoNiPb structure, from the Open Quantum Materials Database.

Lattice parameters (Å, degrees): 4.275 4.275 4.275 60.00 60.00 60.00
Last column: magnetic moment on the atom in μB.
Positions (direct):
Li: 0.250 0.250 0.250  -0.01
Co: 0.500 0.500 0.500  1.36
Ni: 0.750 0.750 0.750  0.17
Pb: 0.000 0.000 0.000  -0.01

Results
The theoretical density comes out at 10.0 g/cm3. The space-group type is F-43m, No. 216.



The structure with the least stability is <Q>.



<P>
The following is a GGA-PBE calculation of a geometry-optimized LiCoNiSb structure, from the Open Quantum Materials Database.

Lattice parameters (Å, degrees): 4.196 4.196 4.196 60.00 60.00 60.00
Last column: magnetic moment on the atom in μB.
Positions (direct):
Ni: 0.750 0.750 0.750  0.09
Sb: 0.000 0.000 0.000  0.01
Co: 0.500 0.500 0.500  1.24
Li: 0.250 0.250 0.250  -0.01

Results
The theoretical density comes out at 7.8 g/cm3. The space-group type is F-43m, No. 216.



<Q>
The following is a GGA-PBE calculation of a geometry-optimized LiCoNiSb structure, from the Open Quantum Materials Database.

Lattice parameters (Å, degrees): 4.195 4.195 4.195 60.00 60.00 60.00
Last column: magnetic moment on the atom in μB.
Positions (direct):
Co: 0.750 0.750 0.750  0.80
Sb: 0.000 0.000 0.000  0.00
Ni: 0.250 0.250 0.250  0.24
Li: 0.500 0.500 0.500  0.00

Results
The theoretical density comes out at 7.8 g/cm3. The space-group type is F-43m, No. 216.



The structure with the least stability is <P>.



<P>
The following is a GGA-PBE calculation of a geometry-optimized LiTlCoNi structure, from the Open Quantum Materials Database.

Lattice parameters (Å, degrees): 4.280 4.280 4.280 60.00 60.00 60.00
Last column: magnetic moment on the atom in μB.
Positions (direct):
Co: 0.750 0.750 0.750  1.10
Li: 0.250 0.250 0.250  -0.01
Ni: 0.500 0.500 0.500  0.37
Tl: 0.000 0.000 0.000  -0.04

Results
The theoretical density comes out at 9.9 g/cm3. The space-group type is F-43m, No. 216.



<Q>
The following is a GGA-PBE calculation of a geometry-optimized LiTlCoNi structure, from the Open Quantum Materials Database.

Lattice parameters (Å, degrees): 4.277 4.277 4.277 60.00 60.00 60.00
Positions (direct):
Li: 0.250 0.250 0.250
Co: 0.500 0.500 0.500
Tl: 0.000 0.000 0.000
Ni: 0.750 0.750 0.750

Results
The theoretical density comes out at 9.9 g/cm3. The space-group type is F-43m, No. 216.



The structure with the least stability is <Q>.



<P>
The following is a GGA-PBE calculation of a geometry-optimized LiNpCo structure, from the Open Quantum Materials Database.

Lattice parameters (Å, degrees): 4.252 4.252 4.252 60.00 60.00 60.00
Positions (direct):
Np: 0.750 0.750 0.750
Co: 0.000 0.000 0.000
Li: 0.250 0.250 0.250

Results
The theoretical density comes out at 9.3 g/cm3. The space-group type is F-43m, No. 216.



<Q>
The following is a GGA-PBE calculation of a geometry-optimized LiNpCo structure, from the Open Quantum Materials Database.

Lattice parameters (Å, degrees): 4.187 4.187 4.187 60.00 60.00 60.00
Last column: magnetic moment on the atom in μB.
Positions (direct):
Li: 0.500 0.500 0.500  0.01
Np: 0.250 0.250 0.250  -0.15
Co: 0.000 0.000 0.000  -0.02

Results
The theoretical density comes out at 9.7 g/cm3. The space-group type is F-43m, No. 216.



The structure with the least stability is <Q>.